A relaxed DyFeP2Rh5 crystal, computed with GGA-PBE.

Output
DFT formation energy ... -264 meV/atom
Space group ... No. 123

a b c (Å): 4.3615 4.3615 9.1401
angles (deg): 90.00 90.00 90.00
Last column: nearest neighbours and their distance in Å.
Element x y z (fractional)
Dy: 0.0000 0.0000 0.0000  12 Rh 2.95-3.08
Fe: 0.5000 0.5000 0.5000  2 P 2.16
P: 0.5000 0.5000 0.2635  1 Fe 2.16, 5 Rh 2.22-2.41
P: 0.5000 0.5000 0.7365  1 Fe 2.16, 5 Rh 2.22-2.41
Rh: 0.0000 0.5000 0.2175  2 P 2.22
Rh: 0.0000 0.5000 0.7825  2 P 2.22
Rh: 0.5000 0.0000 0.2175  2 P 2.22
Rh: 0.5000 0.0000 0.7825  2 P 2.22
Rh: 0.5000 0.5000 0.0000  2 P 2.41

***

A relaxed ThVN3 crystal, computed with GGA-PBE.

Output
E_form (uncorrected) ... -1.1633 eV per atom
Space group ... No. 221

a b c (Å): 3.8649 3.8649 3.8649
angles (deg): 90.00 90.00 90.00
Last column: nearest neighbours and their distance in Å.
Element x y z (fractional)
Th: 0.0000 0.0000 0.0000  12 N 2.73
V: 0.5000 0.5000 0.5000  6 N 1.93
N: 0.0000 0.5000 0.5000  2 V 1.93
N: 0.5000 0.0000 0.5000  2 V 1.93
N: 0.5000 0.5000 0.0000  2 V 1.93

***

A relaxed Ce2SmTe crystal, computed with GGA-PBE.

Output
Excess energy over the best structure of this formula in the dataset ... 0.299 eV/atom
E_form (uncorrected) ... -0.2473 eV per atom
Space group ... No. 225

a b c (Å): 5.4578 5.4578 5.4578
angles (deg): 60.00 60.00 60.00
Last column: nearest neighbours and their distance in Å.
Element x y z (fractional)
Ce: 0.2500 0.2500 0.2500  4 Te 3.34, 4 Sm 3.34
Ce: 0.7500 0.7500 0.7500  4 Sm 3.34, 4 Te 3.34
Sm: 0.0000 0.0000 0.0000  8 Ce 3.34
Te: 0.5000 0.5000 0.5000  8 Ce 3.34

***

A relaxed ZnHg2Au crystal, computed with GGA-PBE.

Output
DFT formation energy ... 108 meV/atom
Space group ... No. 166

a b c (Å): 8.7050 8.7050 8.7050
angles (deg): 22.45 22.45 22.45
Last column: nearest neighbours and their distance in Å.
Element x y z (fractional)
Zn: 0.0000 0.0000 0.0000  6 Hg 2.83
Hg: 0.2529 0.2529 0.2529  3 Zn 2.83, 3 Au 2.94
Hg: 0.7471 0.7471 0.7471  3 Zn 2.83, 3 Au 2.94
Au: 0.5000 0.5000 0.5000  6 Hg 2.94

***

A relaxed LiB2SO6 crystal, computed with GGA-PBE.

Output
E_form (uncorrected) ... -1.7475 eV per atom
Space group ... No. 15

a b c (Å): 7.7356 7.7356 4.8825
angles (deg): 103.75 103.75 54.01
Last column: nearest neighbours and their distance in Å.
Element x y z (fractional)
Li: 0.1315 0.8685 0.7500  4 O 1.91-2.12
Li: 0.8685 0.1315 0.2500  4 O 1.91-2.12
B: 0.2806 0.3779 0.8554  3 O 1.39
B: 0.3779 0.2806 0.3554  3 O 1.39
B: 0.6221 0.7194 0.6446  3 O 1.39
B: 0.7194 0.6221 0.1446  3 O 1.39
S: 0.2771 0.7229 0.2500  2 O 1.48
S: 0.7229 0.2771 0.7500  2 O 1.48
O: 0.0883 0.7711 0.3584  1 S 1.48
O: 0.2289 0.9117 0.1416  1 S 1.48
O: 0.2589 0.5737 0.8974  1 B 1.39
O: 0.2829 0.2901 0.0742  2 B 1.39
O: 0.2901 0.2829 0.5742  2 B 1.39
O: 0.4263 0.7411 0.6026  1 B 1.39
O: 0.5737 0.2589 0.3974  1 B 1.39
O: 0.7099 0.7171 0.4258  2 B 1.39
O: 0.7171 0.7099 0.9258  2 B 1.39
O: 0.7411 0.4263 0.1026  1 B 1.39
O: 0.7711 0.0883 0.8584  1 S 1.48
O: 0.9117 0.2289 0.6416  1 S 1.48

***

A relaxed Y2Zn17 crystal, computed with GGA-PBE.

Output
DFT formation energy ... -238 meV/atom
Excess energy over the best structure of this formula in the dataset ... 0.000 eV/atom
Space group ... No. 166

a b c (Å): 6.7873 6.7873 6.7873
angles (deg): 82.72 82.72 82.72
Last column: nearest neighbours and their distance in Å.
Element x y z (fractional)
Y: 0.1648 0.1648 0.1648  19 Zn 3.10-3.44
Y: 0.8352 0.8352 0.8352  19 Zn 3.10-3.44
Zn: 0.0000 0.5000 0.5000  10 Zn 2.58-2.74
Zn: 0.1477 0.1477 0.6624  8 Zn 2.54-2.75
Zn: 0.1477 0.6624 0.1477  8 Zn 2.54-2.75
Zn: 0.2031 0.5000 0.7969  8 Zn 2.58-2.75
Zn: 0.2031 0.7969 0.5000  8 Zn 2.58-2.75
Zn: 0.3376 0.8523 0.8523  8 Zn 2.54-2.75
Zn: 0.4004 0.4004 0.4004  7 Zn 2.62-2.87
Zn: 0.5000 0.0000 0.5000  10 Zn 2.58-2.74
Zn: 0.5000 0.2031 0.7969  8 Zn 2.58-2.75
Zn: 0.5000 0.5000 0.0000  10 Zn 2.58-2.74
Zn: 0.5000 0.7969 0.2031  8 Zn 2.58-2.75
Zn: 0.5996 0.5996 0.5996  7 Zn 2.62-2.87
Zn: 0.6624 0.1477 0.1477  8 Zn 2.54-2.75
Zn: 0.7969 0.2031 0.5000  8 Zn 2.58-2.75
Zn: 0.7969 0.5000 0.2031  8 Zn 2.58-2.75
Zn: 0.8523 0.3376 0.8523  8 Zn 2.54-2.75
Zn: 0.8523 0.8523 0.3376  8 Zn 2.54-2.75

***

A relaxed La2AlP3 crystal, computed with GGA-PBE.

Output
DFT formation energy ... -1168 meV/atom
Space group ... No. 15

a b c (Å): 7.2174 7.2174 14.1166
angles (deg): 92.08 92.08 127.38
Last column: nearest neighbours and their distance in Å.
Element x y z (fractional)
La: 0.0216 0.4420 0.3418  6 P 2.90-3.11
La: 0.1461 0.3466 0.9279  6 P 2.91-3.25
La: 0.3466 0.1461 0.4279  6 P 2.91-3.25
La: 0.4420 0.0216 0.8418  6 P 2.90-3.11
La: 0.5580 0.9784 0.1582  6 P 2.90-3.11
La: 0.6534 0.8539 0.5721  6 P 2.91-3.25
La: 0.8539 0.6534 0.0721  6 P 2.91-3.25
La: 0.9784 0.5580 0.6582  6 P 2.90-3.11
Al: 0.2716 0.2795 0.1557  4 P 2.30-2.38
Al: 0.2795 0.2716 0.6557  4 P 2.30-2.38
Al: 0.7205 0.7284 0.3443  4 P 2.30-2.38
Al: 0.7284 0.7205 0.8443  4 P 2.30-2.38
P: 0.0194 0.9806 0.7500  2 Al 2.30
P: 0.1212 0.4910 0.1302  1 Al 2.38
P: 0.1312 0.3379 0.5225  1 Al 2.34
P: 0.3379 0.1312 0.0225  1 Al 2.34
P: 0.3950 0.6050 0.7500  2 Al 2.35
P: 0.4910 0.1212 0.6302  1 Al 2.38
P: 0.5090 0.8788 0.3698  1 Al 2.38
P: 0.6050 0.3950 0.2500  2 Al 2.35
P: 0.6621 0.8688 0.9775  1 Al 2.34
P: 0.8688 0.6621 0.4775  1 Al 2.34
P: 0.8788 0.5090 0.8698  1 Al 2.38
P: 0.9806 0.0194 0.2500  2 Al 2.30

***

A relaxed La3Dy3Th crystal, computed with GGA-PBE.

Output
DFT formation energy ... 124 meV/atom
Space group ... No. 11

a b c (Å): 11.3795 3.6011 11.8879
angles (deg): 90.00 91.02 90.00
Last column: nearest neighbours and their distance in Å.
Element x y z (fractional)
La: 0.0122 0.2500 0.3656  5 Dy 3.43-3.72, 6 La 3.60-3.68
La: 0.0555 0.2500 0.8944  6 La 3.35-3.65, 1 Dy 3.41
La: 0.4448 0.2500 0.8876  1 Dy 3.33, 4 La 3.44-3.60, 2 Th 3.62
La: 0.5552 0.7500 0.1124  1 Dy 3.33, 4 La 3.44-3.60, 2 Th 3.62
La: 0.9445 0.7500 0.1056  6 La 3.35-3.65, 1 Dy 3.41
La: 0.9878 0.7500 0.6344  5 Dy 3.43-3.72, 6 La 3.60-3.68
Dy: 0.2478 0.2500 0.6776  4 La 3.33-3.49, 2 Th 3.41, 4 Dy 3.46-3.60
Dy: 0.2570 0.2500 0.1624  4 Dy 3.60-3.65, 1 Th 3.72, 7 La 3.72-4.03
Dy: 0.2616 0.7500 0.4293  3 Th 3.38-3.54, 2 La 3.43, 6 Dy 3.46-3.65
Dy: 0.7384 0.2500 0.5707  3 Th 3.38-3.54, 2 La 3.43, 6 Dy 3.46-3.65
Dy: 0.7430 0.7500 0.8376  4 Dy 3.60-3.65, 1 Th 3.72, 7 La 3.72-4.03
Dy: 0.7522 0.7500 0.3224  4 La 3.33-3.49, 2 Th 3.41, 4 Dy 3.46-3.60
Th: 0.4960 0.7500 0.6290  6 Dy 3.38-3.72, 4 Th 3.56-3.60, 2 La 3.62
Th: 0.5040 0.2500 0.3710  6 Dy 3.38-3.72, 4 Th 3.56-3.60, 2 La 3.62

***

no.,total magnetization (μB per formula unit)
1,3.15
2,0.00
3,1.87
4,0.00
5,1.00
6,0.00
7,0.00
8,0.00